(1)
Density functional theory data (GGA-PBE) for a relaxed structure of MgNpGeAu.

Calculated values
Crystal system ... cubic
E_form ... -0.249 eV/atom

Cell: 6.9578 6.9578 6.9578 Å, 90.00 90.00 90.00°
Last column: nearest neighbours and their distance in Å.
Space group F-43m (No. 216)
Symmetry-distinct sites (fractional):
Mg 0.0000 0.0000 0.0000 [4 per cell]  4 Ge 3.01, 4 Au 3.01
Np 0.0000 0.0000 0.5000 [4 per cell]  4 Ge 3.01, 4 Au 3.01
Ge 0.2500 0.2500 0.7500 [4 per cell]  4 Mg 3.01, 4 Np 3.01
Au 0.2500 0.2500 0.2500 [4 per cell]  4 Mg 3.01, 4 Np 3.01

(2)
Density functional theory data (GGA-PBE) for a relaxed structure of MgPaGeAu.

Calculated values
Crystal system ... cubic
E_form ... -0.372 eV/atom

Cell: 6.9590 6.9590 6.9590 Å, 90.00 90.00 90.00°
Last column: nearest neighbours and their distance in Å.
Space group F-43m (No. 216)
Symmetry-distinct sites (fractional):
Mg 0.0000 0.0000 0.0000 [4 per cell]  4 Au 3.01, 4 Ge 3.01
Pa 0.0000 0.0000 0.5000 [4 per cell]  4 Ge 3.01, 4 Au 3.01
Ge 0.2500 0.2500 0.2500 [4 per cell]  4 Mg 3.01, 4 Pa 3.01
Au 0.2500 0.2500 0.7500 [4 per cell]  4 Pa 3.01, 4 Mg 3.01

(3)
Density functional theory data (GGA-PBE) for a relaxed structure of MgGePdAu.

Calculated values
Crystal system ... cubic
E_form ... -0.417 eV/atom

Cell: 6.4716 6.4716 6.4716 Å, 90.00 90.00 90.00°
Last column: nearest neighbours and their distance in Å.
Space group F-43m (No. 216)
Symmetry-distinct sites (fractional):
Mg 0.0000 0.0000 0.0000 [4 per cell]  4 Au 2.80, 4 Pd 2.80
Ge 0.0000 0.0000 0.5000 [4 per cell]  4 Pd 2.80, 4 Au 2.80
Pd 0.2500 0.2500 0.7500 [4 per cell]  4 Mg 2.80, 4 Ge 2.80
Au 0.2500 0.2500 0.2500 [4 per cell]  4 Ge 2.80, 4 Mg 2.80

(4)
Density functional theory data (GGA-PBE) for a relaxed structure of Mg2Ge2Pd5Au.

Calculated values
Crystal system ... tetragonal
E_form ... -0.468 eV/atom

Cell: 9.6371 9.6371 3.6412 Å, 90.00 90.00 90.00°
Last column: nearest neighbours and their distance in Å.
Space group P4/mbm (No. 127)
Symmetry-distinct sites (fractional):
Mg 0.1711 0.3289 0.0000 [4 per cell]  3 Ge 2.72-2.92, 2 Pd 2.96
Ge 0.1292 0.6292 0.0000 [4 per cell]  6 Pd 2.49-2.53, 1 Mg 2.72
Pd 0.0000 0.5000 0.5000 [2 per cell]  4 Ge 2.53
Pd 0.0769 0.7969 0.5000 [8 per cell]  2 Ge 2.49, 2 Au 2.77
Au 0.0000 0.0000 0.0000 [2 per cell]  8 Pd 2.77

(5)
Density functional theory data (GGA-PBE) for a relaxed structure of PmMg2Ge2Au2.

Calculated values
Crystal system ... trigonal
E_form ... -0.546 eV/atom

Cell: 4.4519 4.4519 24.5327 Å, 90.00 90.00 120.00°
Last column: nearest neighbours and their distance in Å.
Space group R-3m (No. 166, hexagonal axes)
Symmetry-distinct sites (fractional):
Pm 0.0000 0.0000 0.0000 [3 per cell]  6 Ge 3.09, 2 Mg 3.40
Mg 0.0000 0.0000 0.1385 [6 per cell]  3 Au 2.73, 3 Mg 2.92
Ge 0.0000 0.0000 0.2636 [6 per cell]  3 Au 2.68
Au 0.0000 0.0000 0.4345 [6 per cell]  3 Ge 2.68, 3 Mg 2.73

(6)
Density functional theory data (GGA-PBE) for a relaxed structure of PmMgGe2Au2.

Calculated values
Crystal system ... trigonal
E_form ... -0.605 eV/atom

Cell: 4.4450 4.4450 7.1072 Å, 90.00 90.00 120.00°
Last column: nearest neighbours and their distance in Å.
Space group P-3m1 (No. 164)
Symmetry-distinct sites (fractional):
Pm 0.0000 0.0000 0.0000 [1 per cell]  6 Ge 3.10, 6 Au 3.37
Mg 0.0000 0.0000 0.5000 [1 per cell]  6 Au 2.91, 6 Ge 3.14
Ge 0.3333 0.6667 0.7553 [2 per cell]  3 Au 2.60
Au 0.3333 0.6667 0.3067 [2 per cell]  3 Ge 2.60, 3 Mg 2.91

(7)
Density functional theory data (GGA-PBE) for a relaxed structure of Pr2MgGeAu6.

Calculated values
Crystal system ... triclinic
E_form ... -0.540 eV/atom

Cell: 5.1924 5.6139 8.2855 Å, 103.01 104.08 101.78°
Last column: nearest neighbours and their distance in Å.
Space group P-1 (No. 2)
Symmetry-distinct sites (fractional):
Pr 0.0702 0.3403 0.1845 [2 per cell]  7 Au 3.08-3.19, 2 Ge 3.10-3.38
Mg 0.5000 0.0000 0.5000 [1 per cell]  6 Au 2.74-2.81
Ge 0.5000 0.5000 0.0000 [1 per cell]  4 Au 2.70-3.01
Au 0.0483 0.1384 0.6867 [2 per cell]  1 Mg 2.74, 3 Au 2.85-3.00, 1 Ge 3.01
Au 0.3063 0.5559 0.5869 [2 per cell]  1 Mg 2.81, 4 Au 2.83-3.02, 2 Pr 3.08-3.11
Au 0.4247 0.9489 0.1506 [2 per cell]  1 Ge 2.70, 1 Mg 2.77, 3 Au 2.93-2.94

(8)
Density functional theory data (GGA-PBE) for a relaxed structure of PuMgGeAu.

Calculated values
Crystal system ... cubic
E_form ... -0.435 eV/atom

Cell: 6.9748 6.9748 6.9748 Å, 90.00 90.00 90.00°
Last column: nearest neighbours and their distance in Å.
Space group F-43m (No. 216)
Symmetry-distinct sites (fractional):
Pu 0.0000 0.0000 0.0000 [4 per cell]  4 Ge 3.02, 4 Au 3.02
Mg 0.0000 0.0000 0.5000 [4 per cell]  4 Au 3.02, 4 Ge 3.02
Ge 0.2500 0.2500 0.7500 [4 per cell]  4 Mg 3.02, 4 Pu 3.02
Au 0.2500 0.2500 0.2500 [4 per cell]  4 Mg 3.02, 4 Pu 3.02

(9)
Density functional theory data (GGA-PBE) for a relaxed structure of Pu2MgGe3Au4.

Calculated values
Crystal system ... tetragonal
E_form ... -0.366 eV/atom

Cell: 4.3345 4.3345 11.2009 Å, 90.00 90.00 90.00°
Last column: nearest neighbours and their distance in Å.
Space group P-4m2 (No. 115)
Symmetry-distinct sites (fractional):
Pu 0.0000 0.5000 0.2304 [2 per cell]  4 Ge 3.23, 8 Au 3.37-3.40
Mg 0.0000 0.0000 0.5000 [1 per cell]  4 Au 2.66
Ge 0.0000 0.5000 0.8607 [2 per cell]  5 Au 2.50-2.67
Ge 0.5000 0.5000 0.5000 [1 per cell]  4 Au 2.66
Au 0.0000 0.0000 0.0000 [1 per cell]  4 Ge 2.67
Au 0.0000 0.5000 0.6376 [2 per cell]  3 Ge 2.50-2.66, 2 Mg 2.66
Au 0.5000 0.5000 0.0000 [1 per cell]  4 Ge 2.67

(10)
Density functional theory data (GGA-PBE) for a relaxed structure of MgScGeAu.

Calculated values
Crystal system ... cubic
E_form ... -0.588 eV/atom

Cell: 6.7162 6.7162 6.7162 Å, 90.00 90.00 90.00°
Last column: nearest neighbours and their distance in Å.
Space group F-43m (No. 216)
Symmetry-distinct sites (fractional):
Mg 0.0000 0.0000 0.0000 [4 per cell]  4 Au 2.91, 4 Ge 2.91
Sc 0.0000 0.0000 0.5000 [4 per cell]  4 Ge 2.91, 4 Au 2.91
Ge 0.2500 0.2500 0.2500 [4 per cell]  4 Mg 2.91, 4 Sc 2.91
Au 0.2500 0.2500 0.7500 [4 per cell]  4 Sc 2.91, 4 Mg 2.91

(11)
Density functional theory data (GGA-PBE) for a relaxed structure of Mg2GeAuSe4.

Calculated values
Crystal system ... orthorhombic
Uncorrected energy ... -3.733 eV/atom

Cell: 8.6577 8.6749 11.6149 Å, 90.00 90.00 90.00°
Last column: nearest neighbours and their distance in Å.
Space group Fmm2 (No. 42)
Symmetry-distinct sites (fractional):
Mg 0.2500 0.2500 0.0000 [8 per cell]  4 Se 2.61
Ge 0.0000 0.0000 0.2500 [4 per cell]  4 Se 2.58
Au 0.0000 0.0000 0.7494 [4 per cell]  4 Se 2.63-2.64
Se 0.0000 0.2460 0.1252 [8 per cell]  1 Ge 2.58, 2 Mg 2.61, 1 Au 2.63
Se 0.2460 0.0000 0.3751 [8 per cell]  1 Ge 2.58, 2 Mg 2.61, 1 Au 2.64

(12)
Density functional theory data (GGA-PBE) for a relaxed structure of MgSiGe2Au.

Calculated values
Crystal system ... tetragonal
Uncorrected energy ... -3.379 eV/atom

Cell: 4.7394 4.7394 4.9871 Å, 90.00 90.00 90.00°
Last column: nearest neighbours and their distance in Å.
Space group P4/mmm (No. 123)
Symmetry-distinct sites (fractional):
Mg 0.0000 0.0000 0.0000 [1 per cell]  2 Si 2.49
Si 0.0000 0.0000 0.5000 [1 per cell]  4 Ge 2.37, 2 Mg 2.49
Ge 0.0000 0.5000 0.5000 [2 per cell]  2 Si 2.37
Au 0.5000 0.5000 0.0000 [1 per cell]  4 Mg 3.35, 8 Ge 3.44

(13)
Density functional theory data (GGA-PBE) for a relaxed structure of SmMg2Ge2Au2.

Calculated values
Crystal system ... trigonal
E_form ... -0.538 eV/atom

Cell: 4.4466 4.4466 24.4780 Å, 90.00 90.00 120.00°
Last column: nearest neighbours and their distance in Å.
Space group R-3m (No. 166, hexagonal axes)
Symmetry-distinct sites (fractional):
Sm 0.0000 0.0000 0.0000 [3 per cell]  6 Ge 3.08, 2 Mg 3.39
Mg 0.0000 0.0000 0.1384 [6 per cell]  3 Au 2.73, 3 Mg 2.92
Ge 0.0000 0.0000 0.2642 [6 per cell]  3 Au 2.68
Au 0.0000 0.0000 0.4343 [6 per cell]  3 Ge 2.68, 3 Mg 2.73

(14)
Density functional theory data (GGA-PBE) for a relaxed structure of Sm2MgGe4Au3.

Calculated values
Crystal system ... tetragonal
E_form ... -0.543 eV/atom

Cell: 4.2672 4.2672 11.4911 Å, 90.00 90.00 90.00°
Last column: nearest neighbours and their distance in Å.
Space group P-4m2 (No. 115)
Symmetry-distinct sites (fractional):
Sm 0.0000 0.5000 0.2452 [2 per cell]  8 Ge 3.24-3.62, 6 Au 3.29-3.53, 2 Mg 3.53
Mg 0.5000 0.5000 0.0000 [1 per cell]  4 Ge 2.69
Ge 0.0000 0.0000 0.5000 [1 per cell]  4 Au 2.67
Ge 0.0000 0.5000 0.8578 [2 per cell]  3 Au 2.50-2.69, 2 Mg 2.69
Ge 0.5000 0.5000 0.5000 [1 per cell]  4 Au 2.67
Au 0.0000 0.0000 0.0000 [1 per cell]  4 Ge 2.69
Au 0.0000 0.5000 0.6400 [2 per cell]  5 Ge 2.50-2.67

(15)
Density functional theory data (GGA-PBE) for a relaxed structure of MgSnGeAu2.

Calculated values
Crystal system ... tetragonal
E_form ... 0.397 eV/atom

Cell: 4.9802 4.9802 4.9914 Å, 90.00 90.00 90.00°
Last column: nearest neighbours and their distance in Å.
Space group P4/mmm (No. 123)
Symmetry-distinct sites (fractional):
Mg 0.0000 0.0000 0.0000 [1 per cell]  4 Au 2.49, 2 Ge 2.50
Sn 0.5000 0.5000 0.5000 [1 per cell]  4 Ge 3.52, 8 Au 3.53
Ge 0.0000 0.0000 0.5000 [1 per cell]  2 Mg 2.50
Au 0.0000 0.5000 0.0000 [2 per cell]  2 Mg 2.49

(16)
Density functional theory data (GGA-PBE) for a relaxed structure of Sr2MgGe3Au12.

Calculated values
Crystal system ... trigonal
E_form ... -0.118 eV/atom

Cell: 9.4883 9.4883 16.8786 Å, 90.00 90.00 120.00°
Last column: nearest neighbours and their distance in Å.
Space group R-3m (No. 166, hexagonal axes)
Symmetry-distinct sites (fractional):
Sr 0.0000 0.0000 0.1118 [6 per cell]  6 Au 3.03-3.35
Mg 0.0000 0.0000 0.5000 [3 per cell]  6 Au 2.72
Ge 0.0000 0.5000 0.0000 [9 per cell]  6 Au 2.52-2.68
Au 0.0041 0.5021 0.1495 [18 per cell]  1 Ge 2.52, 1 Mg 2.72, 2 Au 2.77
Au 0.0150 0.5075 0.3249 [18 per cell]  2 Ge 2.68, 3 Au 2.88-2.96

(17)
Density functional theory data (GGA-PBE) for a relaxed structure of Sr2MgGe4Au3.

Calculated values
Crystal system ... tetragonal
E_form ... -0.516 eV/atom

Cell: 4.4588 4.4588 11.2626 Å, 90.00 90.00 90.00°
Last column: nearest neighbours and their distance in Å.
Space group P-4m2 (No. 115)
Symmetry-distinct sites (fractional):
Sr 0.0000 0.5000 0.2474 [2 per cell]  8 Ge 3.40-3.57, 6 Au 3.41-3.61, 2 Mg 3.61
Mg 0.0000 0.0000 0.5000 [1 per cell]  4 Ge 2.73
Ge 0.0000 0.0000 0.0000 [1 per cell]  4 Au 2.68
Ge 0.0000 0.5000 0.6399 [2 per cell]  3 Au 2.57-2.73, 2 Mg 2.73
Ge 0.5000 0.5000 0.0000 [1 per cell]  4 Au 2.68
Au 0.0000 0.5000 0.8680 [2 per cell]  5 Ge 2.57-2.68
Au 0.5000 0.5000 0.5000 [1 per cell]  4 Ge 2.73

(18)
Density functional theory data (GGA-PBE) for a relaxed structure of Sr2MgGe3Au4.

Calculated values
Crystal system ... tetragonal
E_form ... -0.553 eV/atom

Cell: 4.5140 4.5140 11.0291 Å, 90.00 90.00 90.00°
Last column: nearest neighbours and their distance in Å.
Space group P-4m2 (No. 115)
Symmetry-distinct sites (fractional):
Sr 0.0000 0.5000 0.2380 [2 per cell]  6 Ge 3.40-3.67, 8 Au 3.46-3.48, 2 Mg 3.67
Mg 0.0000 0.0000 0.5000 [1 per cell]  4 Au 2.71
Ge 0.0000 0.5000 0.8691 [2 per cell]  5 Au 2.58-2.68
Ge 0.5000 0.5000 0.5000 [1 per cell]  4 Au 2.71
Au 0.0000 0.0000 0.0000 [1 per cell]  4 Ge 2.68
Au 0.0000 0.5000 0.6355 [2 per cell]  3 Ge 2.58-2.71, 2 Mg 2.71
Au 0.5000 0.5000 0.0000 [1 per cell]  4 Ge 2.68

(19)
Density functional theory data (GGA-PBE) for a relaxed structure of SrMg2GeAu4.

Calculated values
Crystal system ... trigonal
E_form ... -0.456 eV/atom

Cell: 4.5141 4.5141 29.7917 Å, 90.00 90.00 120.00°
Last column: nearest neighbours and their distance in Å.
Space group R-3m (No. 166, hexagonal axes)
Symmetry-distinct sites (fractional):
Sr 0.0000 0.0000 0.0000 [3 per cell]  6 Au 3.28
Mg 0.0000 0.0000 0.2360 [6 per cell]  6 Au 2.76-2.79
Ge 0.0000 0.0000 0.5000 [3 per cell]  8 Au 2.82-2.98
Au 0.0000 0.0000 0.1307 [6 per cell]  3 Mg 2.79, 3 Ge 2.82
Au 0.0000 0.0000 0.4000 [6 per cell]  3 Mg 2.76, 1 Ge 2.98

(20)
Density functional theory data (GGA-PBE) for a relaxed structure of SrMgGe2Au5.

Calculated values
Crystal system ... tetragonal
E_form ... -0.293 eV/atom

Cell: 4.9872 4.9872 8.4711 Å, 90.00 90.00 90.00°
Last column: nearest neighbours and their distance in Å.
Space group P4/mmm (No. 123)
Symmetry-distinct sites (fractional):
Sr 0.0000 0.0000 0.0000 [1 per cell]  12 Au 3.53-3.72
Mg 0.0000 0.0000 0.5000 [1 per cell]  8 Au 2.90
Ge 0.5000 0.5000 0.2965 [2 per cell]  5 Au 2.51
Au 0.0000 0.5000 0.3255 [4 per cell]  2 Ge 2.51
Au 0.5000 0.5000 0.0000 [1 per cell]  2 Ge 2.51

| no. | M_tot (μB/cell) |
| --- | --- |
| 1 | 15.91 |
| 2 | 0.00 |
| 3 | 0.00 |
| 4 | 0.00 |
| 5 | 0.00 |
| 6 | 0.00 |
| 7 | 0.00 |
| 8 | 21.05 |
| 9 | 11.08 |
| 10 | 0.00 |
| 11 | 0.00 |
| 12 | 0.00 |
| 13 | 0.00 |
| 14 | 0.00 |
| 15 | 0.00 |
| 16 | 0.00 |
| 17 | 0.00 |
| 18 | 0.00 |
| 19 | 0.00 |
| 20 | 0.00 |